(1)
A plane-wave DFT calculation with PBE was carried out for an optimized crystal structure of SrIrOs2.

abc: 4.623 4.623 4.623
angles: 60.00 60.00 60.00
Element x y z (fractional)
Sr 0.000 0.000 0.000
Ir 0.500 0.500 0.500
Os 0.250 0.250 0.250
Os 0.750 0.750 0.750

Output
ΔE_f = 1.238 eV/atom
DOS at the Fermi energy = 2.21 states/eV per atom
Volume = 69.8 Å³/cell

(2)
A plane-wave DFT calculation with PBE was carried out for an optimized crystal structure of SrIr2Os.

abc: 4.936 4.936 4.936
angles: 129.05 129.05 74.92
Element x y z (fractional)
Sr 0.000 0.000 0.000
Ir 0.250 0.750 0.500
Ir 0.750 0.250 0.500
Os 0.500 0.500 0.000

Output
ΔE_f = 0.788 eV/atom
DOS at the Fermi energy = 1.26 states/eV per atom
Volume = 70.6 Å³/cell

(3)
A plane-wave DFT calculation with PBE was carried out for an optimized crystal structure of SrIrOs3.

abc: 4.687 4.687 4.687
angles: 90.00 90.00 90.00
Element x y z (fractional)
Sr 0.000 0.000 0.000
Ir 0.500 0.500 0.500
Os 0.000 0.000 0.500
Os 0.000 0.500 0.000
Os 0.500 0.000 0.000

Output
ΔE_f = 3.957 eV/atom
DOS at the Fermi energy = 1.64 states/eV per atom
Volume = 103.0 Å³/cell

(4)
A plane-wave DFT calculation with PBE was carried out for an optimized crystal structure of Sr2IrOs.

abc: 5.078 5.078 5.933
angles: 96.75 96.75 35.43
Element x y z (fractional)
Sr 0.249 0.249 0.247
Sr 0.751 0.751 0.753
Ir 0.500 0.500 0.000
Os 0.000 0.000 0.500

Output
ΔE_f = 0.904 eV/atom
DOS at the Fermi energy = 0.42 states/eV per atom
Volume = 88.0 Å³/cell

(5)
A plane-wave DFT calculation with PBE was carried out for an optimized crystal structure of SrIr2Os.

abc: 2.838 4.389 6.192
angles: 90.00 103.09 90.00
Element x y z (fractional)
Sr 0.000 0.000 0.000
Ir 0.631 0.500 0.264
Ir 0.751 0.000 0.510
Os 0.312 0.500 0.631

Output
ΔE_f = 0.408 eV/atom
DOS at the Fermi energy = 0.97 states/eV per atom
Volume = 75.1 Å³/cell

(6)
A plane-wave DFT calculation with PBE was carried out for an optimized crystal structure of SrIrOs2.

abc: 4.841 4.841 4.841
angles: 127.16 127.16 77.99
Element x y z (fractional)
Sr 0.000 0.000 0.000
Ir 0.250 0.750 0.500
Os 0.500 0.500 0.000
Os 0.750 0.250 0.500

Output
ΔE_f = 1.030 eV/atom
DOS at the Fermi energy = 1.59 states/eV per atom
Volume = 69.8 Å³/cell

(7)
A plane-wave DFT calculation with PBE was carried out for an optimized crystal structure of SrIr2Os.

abc: 4.679 4.679 4.679
angles: 60.00 60.00 60.00
Element x y z (fractional)
Sr 0.000 0.000 0.000
Ir 0.250 0.250 0.250
Ir 0.750 0.750 0.750
Os 0.500 0.500 0.500

Output
ΔE_f = 0.882 eV/atom
DOS at the Fermi energy = 1.49 states/eV per atom
Volume = 72.4 Å³/cell

(8)
A plane-wave DFT calculation with PBE was carried out for an optimized crystal structure of Sr2Ir2Os.

abc: 5.592 5.592 5.592
angles: 114.71 114.71 99.43
Element x y z (fractional)
Sr 0.250 0.750 0.500
Sr 0.750 0.250 0.500
Ir 0.171 0.171 0.000
Ir 0.829 0.829 0.000
Os 0.500 0.500 0.000

Output
ΔE_f = 0.570 eV/atom
DOS at the Fermi energy = 0.82 states/eV per atom
Volume = 131.6 Å³/cell

(9)
A plane-wave DFT calculation with PBE was carried out for an optimized crystal structure of Sr2IrOs.

abc: 6.085 6.085 5.590
angles: 109.80 109.80 29.06
Element x y z (fractional)
Sr 0.000 0.000 0.000
Sr 0.194 0.194 0.615
Ir 0.432 0.432 0.462
Os 0.768 0.768 0.162

Output
ΔE_f = 0.404 eV/atom
DOS at the Fermi energy = 1.20 states/eV per atom
Volume = 94.2 Å³/cell

(10)
A plane-wave DFT calculation with PBE was carried out for an optimized crystal structure of Sr2IrOs.

abc: 4.375 5.872 5.872
angles: 48.91 90.00 90.00
Element x y z (fractional)
Sr 0.000 0.000 0.000
Sr 0.500 0.286 0.286
Ir 0.000 0.689 0.689
Os 0.500 0.599 0.599

Output
ΔE_f = 0.064 eV/atom
DOS at the Fermi energy = 0.63 states/eV per atom
Volume = 113.7 Å³/cell

(11)
A plane-wave DFT calculation with PBE was carried out for an optimized crystal structure of SrIr2Os.

abc: 4.966 4.966 2.835
angles: 90.00 90.00 90.00
Element x y z (fractional)
Sr 0.000 0.000 0.000
Ir 0.000 0.500 0.500
Ir 0.500 0.000 0.500
Os 0.500 0.500 0.000

Output
ΔE_f = 0.637 eV/atom
DOS at the Fermi energy = 1.17 states/eV per atom
Volume = 69.9 Å³/cell

(12)
A plane-wave DFT calculation with PBE was carried out for an optimized crystal structure of SrIr2Os.

abc: 2.787 3.846 7.069
angles: 90.00 90.00 90.00
Element x y z (fractional)
Sr 0.000 0.000 0.000
Ir 0.000 0.000 0.508
Ir 0.500 0.500 0.301
Os 0.500 0.500 0.666

Output
ΔE_f = 0.429 eV/atom
DOS at the Fermi energy = 1.09 states/eV per atom
Volume = 75.8 Å³/cell

(13)
A plane-wave DFT calculation with PBE was carried out for an optimized crystal structure of SrIr2Os.

abc: 2.820 3.614 7.385
angles: 90.00 90.00 90.00
Element x y z (fractional)
Sr 0.000 0.000 0.000
Ir 0.500 0.500 0.316
Ir 0.500 0.500 0.684
Os 0.000 0.000 0.500

Output
ΔE_f = 0.291 eV/atom
DOS at the Fermi energy = 0.86 states/eV per atom
Volume = 75.3 Å³/cell

(14)
A plane-wave DFT calculation with PBE was carried out for an optimized crystal structure of Sr4IrOs.

abc: 6.210 6.210 6.210
angles: 60.00 60.00 60.00
Element x y z (fractional)
Sr 0.125 0.125 0.125
Sr 0.125 0.125 0.625
Sr 0.125 0.625 0.125
Sr 0.625 0.125 0.125
Ir 0.750 0.750 0.750
Os 0.500 0.500 0.500

Output
ΔE_f = 1.501 eV/atom
DOS at the Fermi energy = 1.48 states/eV per atom
Volume = 169.3 Å³/cell

(15)
A plane-wave DFT calculation with PBE was carried out for an optimized crystal structure of Sr2IrOs.

abc: 5.463 5.463 5.463
angles: 131.02 131.02 71.78
Element x y z (fractional)
Sr 0.250 0.750 0.500
Sr 0.750 0.250 0.500
Ir 0.000 0.000 0.000
Os 0.500 0.500 0.000

Output
ΔE_f = 0.764 eV/atom
DOS at the Fermi energy = 1.31 states/eV per atom
Volume = 90.8 Å³/cell